MnGaNF2 | the Alexandria database | PBE+U | relaxed; symmetry = P4/mmm; distance to the lowest polymorph of the same formula = 115 meV/atom; total moment = 3.0 μB/f.u.
1.0
4.173 0.000 0.000
0.000 4.173 0.000
0.000 0.000 3.905
Mn Ga N F
1 1 1 2
Cartesian
0.000 0.000 0.000
2.086 2.086 1.953
0.000 0.000 1.953
0.000 2.086 0.000
2.086 0.000 0.000